! Hf2SbAsAu, relaxed, DFT GGA-PBE; values from VASP
! Calculated density = 8878 kg/m³
! E_tot = -5.474 eV per atom
&SYSTEM
  ibrav = 0, nat = 5, ntyp = 4
/
ATOMIC_SPECIES
Hf 178.49 Hf.upf
Sb 121.76 Sb.upf
Au 196.97 Au.upf
As 74.92 As.upf
CELL_PARAMETERS angstrom
-3.505 1.575 3.691
3.233 -1.151 3.561
1.993 4.937 -0.214
ATOMIC_POSITIONS crystal
Hf 0.000 0.000 0.500
Hf 0.500 0.000 0.000
Sb 0.000 0.000 0.000
Au 0.000 0.500 0.000
As 0.500 0.500 0.500

=====

! ScSe2NO, relaxed, DFT GGA-PBE; values from VASP
! Calculated density = 3347 kg/m³
! E_tot = -4.578 eV per atom
! Energy above the lowest structure with this stoichiometry = 0.358 eV/atom
&SYSTEM
  ibrav = 0, nat = 5, ntyp = 4
/
ATOMIC_SPECIES
Sc 44.96 Sc.upf
Se 78.96 Se.upf
N 14.01 N.upf
O 16.00 O.upf
CELL_PARAMETERS angstrom
5.241 0.000 0.000
0.000 5.241 0.000
0.000 0.000 4.206
ATOMIC_POSITIONS crystal
Sc 0.000 0.000 0.000
Se 0.000 0.500 0.000
Se 0.500 0.000 0.000
N 0.000 0.000 0.500
O 0.500 0.500 0.500

=====

! PmNpIn, relaxed, DFT GGA-PBE; values from VASP
! Calculated density = 10347 kg/m³
! Formation enthalpy at 0 K = -62 meV per atom
! E_tot = -6.871 eV per atom
&SYSTEM
  ibrav = 0, nat = 6, ntyp = 3
/
ATOMIC_SPECIES
In 114.82 In.upf
Pm 145.00 Pm.upf
Np 237.00 Np.upf
CELL_PARAMETERS angstrom
-2.779 -0.095 -2.206
-3.202 -1.761 4.109
0.837 8.463 1.437
ATOMIC_POSITIONS crystal
In 0.576 0.746 0.152
In 0.424 0.254 0.848
Pm 0.904 0.742 0.809
Pm 0.096 0.258 0.191
Np 0.241 0.847 0.482
Np 0.759 0.153 0.518

=====

! Ti2InCoIr, relaxed, DFT GGA-PBE; values from VASP
! Calculated density = 6944 kg/m³
! Formation enthalpy at 0 K = 758 meV per atom
! E_tot = -6.141 eV per atom
&SYSTEM
  ibrav = 0, nat = 5, ntyp = 4
/
ATOMIC_SPECIES
Ir 192.22 Ir.upf
Ti 47.87 Ti.upf
Co 58.93 Co.upf
In 114.82 In.upf
CELL_PARAMETERS angstrom
-2.969 3.490 -1.003
-2.947 -1.413 3.808
2.366 2.842 2.886
ATOMIC_POSITIONS crystal
Ir 0.000 0.000 0.000
Ti 0.500 0.000 0.000
Ti 0.000 0.000 0.500
Co 0.500 0.500 0.500
In 0.000 0.500 0.000

=====

! As2Cl, relaxed, DFT GGA-PBE; values from VASP
! Calculated density = 4448 kg/m³
! E_tot = -2.772 eV per atom
! Energy above the lowest structure with this stoichiometry = 1.215 eV/atom
&SYSTEM
  ibrav = 0, nat = 3, ntyp = 2
/
ATOMIC_SPECIES
Cl 35.45 Cl.upf
As 74.92 As.upf
CELL_PARAMETERS angstrom
-3.363 -2.083 2.363
0.371 -0.518 4.563
-2.692 2.452 2.823
ATOMIC_POSITIONS crystal
Cl 0.000 0.000 0.000
As 0.250 0.250 0.250
As 0.750 0.750 0.750

=====

! ErTh5Bi6, relaxed, DFT GGA-PBE; values from VASP
! Calculated density = 10561 kg/m³
! Formation enthalpy at 0 K = -595 meV per atom
! E_tot = -6.007 eV per atom
&SYSTEM
  ibrav = 0, nat = 12, ntyp = 3
/
ATOMIC_SPECIES
Bi 208.98 Bi.upf
Er 167.26 Er.upf
Th 232.04 Th.upf
CELL_PARAMETERS angstrom
7.834 0.192 1.190
1.928 6.634 3.868
0.134 0.067 7.921
ATOMIC_POSITIONS crystal
Bi 0.243 0.920 0.674
Bi 0.757 0.406 0.674
Bi 0.757 0.080 0.326
Bi 0.250 0.241 0.000
Bi 0.750 0.759 0.000
Bi 0.243 0.594 0.326
Er 0.000 0.000 0.000
Th 0.000 0.665 0.670
Th 0.500 0.829 0.342
Th 0.000 0.335 0.330
Th 0.500 0.500 0.000
Th 0.500 0.171 0.658

=====

! PuSnTe4, relaxed, DFT GGA-PBE; values from VASP
! Calculated density = 6749 kg/m³
! E_tot = -5.515 eV per atom
&SYSTEM
  ibrav = 0, nat = 6, ntyp = 3
/
ATOMIC_SPECIES
Te 127.60 Te.upf
Sn 118.71 Sn.upf
Pu 244.00 Pu.upf
CELL_PARAMETERS angstrom
4.261 0.000 0.000
-2.130 7.619 0.267
0.000 -3.623 6.491
ATOMIC_POSITIONS crystal
Te 0.130 0.261 0.460
Te 0.870 0.739 0.540
Te 0.368 0.737 0.045
Te 0.632 0.263 0.955
Sn 0.000 0.000 0.000
Pu 0.500 0.000 0.500

=====

! BAsAu3, relaxed, DFT GGA-PBE; values from VASP
! Calculated density = 9332 kg/m³
! Formation enthalpy at 0 K = 1236 meV per atom
! E_tot = -2.996 eV per atom
! Energy above the lowest structure with this stoichiometry = 0.724 eV/atom
&SYSTEM
  ibrav = 0, nat = 5, ntyp = 3
/
ATOMIC_SPECIES
Au 196.97 Au.upf
As 74.92 As.upf
B 10.81 B.upf
CELL_PARAMETERS angstrom
4.938 0.000 0.000
0.000 4.938 0.000
0.000 0.000 4.938
ATOMIC_POSITIONS crystal
Au 0.500 0.000 0.000
Au 0.000 0.000 0.500
Au 0.000 0.500 0.000
As 0.000 0.000 0.000
B 0.500 0.500 0.500

=====

! TiNiHg2C, relaxed, DFT GGA-PBE; values from VASP
! Calculated density = 8335 kg/m³
! Formation enthalpy at 0 K = 1522 meV per atom
! E_tot = -3.179 eV per atom
&SYSTEM
  ibrav = 0, nat = 5, ntyp = 4
/
ATOMIC_SPECIES
C 12.01 C.upf
Hg 200.59 Hg.upf
Ti 47.87 Ti.upf
Ni 58.69 Ni.upf
CELL_PARAMETERS angstrom
-0.179 1.301 -4.672
0.175 -4.230 -1.185
-4.846 -0.234 0.121
ATOMIC_POSITIONS crystal
C 0.500 0.500 0.500
Hg 0.000 0.000 0.500
Hg 0.500 0.000 0.000
Ti 0.000 0.500 0.000
Ni 0.000 0.000 0.000

=====

! PuPaCS, relaxed, DFT GGA-PBE; values from VASP
! Calculated density = 11388 kg/m³
! E_tot = -10.310 eV per atom
&SYSTEM
  ibrav = 0, nat = 4, ntyp = 4
/
ATOMIC_SPECIES
C 12.01 C.upf
S 32.06 S.upf
Pa 231.04 Pa.upf
Pu 244.00 Pu.upf
CELL_PARAMETERS angstrom
3.728 0.000 0.000
1.864 3.228 0.000
1.864 1.076 6.290
ATOMIC_POSITIONS crystal
C 0.688 0.688 0.937
S 0.195 0.195 0.414
Pa 0.959 0.959 0.124
Pu 0.435 0.435 0.695

=====

! Li2GaNiN, relaxed, DFT GGA-PBE; values from VASP
! Calculated density = 4287 kg/m³
! E_tot = -4.454 eV per atom
&SYSTEM
  ibrav = 0, nat = 5, ntyp = 4
/
ATOMIC_SPECIES
Ga 69.72 Ga.upf
N 14.01 N.upf
Li 6.94 Li.upf
Ni 58.69 Ni.upf
CELL_PARAMETERS angstrom
-2.381 -0.276 -3.356
-1.842 -3.334 1.582
-2.433 2.082 1.554
ATOMIC_POSITIONS crystal
Ga 0.500 0.500 0.500
N 0.000 0.000 0.000
Li 0.000 0.500 0.000
Li 0.500 0.000 0.000
Ni 0.000 0.000 0.500

=====

! AsPtRh2, relaxed, DFT GGA-PBE; values from VASP
! Calculated density = 13022 kg/m³
! Formation enthalpy at 0 K = -116 meV per atom
! E_tot = -6.465 eV per atom
&SYSTEM
  ibrav = 0, nat = 4, ntyp = 3
/
ATOMIC_SPECIES
Rh 102.91 Rh.upf
As 74.92 As.upf
Pt 195.08 Pt.upf
CELL_PARAMETERS angstrom
-3.556 0.906 -1.306
0.154 -2.197 -1.945
-2.062 -4.481 2.506
ATOMIC_POSITIONS crystal
Rh 0.000 0.101 0.016
Rh 0.000 0.399 0.484
As 0.500 0.250 0.250
Pt 0.500 0.750 0.750